## Li2MgBr5 (PBE)

Data for Li2MgBr5 after structural relaxation.

Values from the calculation:
**Total magnetic moment**: 0.5 μB per formula unit
**Raw formation energy**: -1.2307 eV per atom
**Space-group type**: Cmcm (63)

a b c (Å): 5.5861 7.3392 12.0791
angles (deg): 90.00 90.00 112.37
Fractional coordinates of all 16 atoms:
Br: 0.7095 0.4190 0.9064
Br: 0.9948 0.9895 0.3761
Br: 0.9948 0.9895 0.1239
Br: 0.3296 0.6593 0.7500
Br: 0.7095 0.4190 0.5936
Br: 0.2905 0.5810 0.0936
Br: 0.2905 0.5810 0.4064
Br: 0.0052 0.0105 0.6239
Br: 0.0052 0.0105 0.8761
Br: 0.6704 0.3407 0.2500
Mg: 0.1610 0.3221 0.2500
Mg: 0.8390 0.6779 0.7500
Li: 0.2021 0.4042 0.9082
Li: 0.2021 0.4042 0.5918
Li: 0.7979 0.5958 0.0918
Li: 0.7979 0.5958 0.4082